(1)
Material: CrFeCo6
Method: DFT, PBEsol
State: relaxed

Structure (CIF):
```
data_CrFeCo6
_chemical_formula_sum 'Cr8 Fe8 Co48'
_symmetry_space_group_name_H-M 'C m m m'
_symmetry_Int_Tables_number 65
_symmetry_space_group_name_Hall '-C 2 2'
_cell_length_a 6.917
_cell_length_b 9.779
_cell_length_c 9.782
_cell_angle_alpha 90.00
_cell_angle_beta 90.00
_cell_angle_gamma 90.00
loop_
_atom_site_label
_atom_site_fract_x
_atom_site_fract_y
_atom_site_fract_z
_atom_site_occupancy
Cr1 0.000 0.000 0.249 1
Cr2 0.000 0.249 0.500 1
Fe1 0.000 0.251 0.000 1
Fe2 0.000 0.500 0.249 1
Co1 0.000 0.000 0.000 1
Co2 0.000 0.000 0.500 1
Co3 0.000 0.249 0.253 1
Co4 0.000 0.500 0.000 1
Co5 0.000 0.500 0.500 1
Co6 0.248 0.125 0.126 1
Co7 0.248 0.126 0.377 1
```

## Properties
E in eV per atom: -8.1734
Mass density in g cm⁻³: 9.27
Size of the total moment in μB per formula unit: 7.994


(2)
Material: CaMgSb2
Method: DFT, PBEsol
State: relaxed

Structure (CIF):
```
data_CaMgSb2
_chemical_formula_sum 'Ca1 Mg1 Sb2'
_symmetry_space_group_name_H-M 'P 4/m m m'
_symmetry_Int_Tables_number 123
_symmetry_space_group_name_Hall '-P 4 2'
_cell_length_a 3.531
_cell_length_b 3.531
_cell_length_c 8.233
_cell_angle_alpha 90.00
_cell_angle_beta 90.00
_cell_angle_gamma 90.00
loop_
_atom_site_label
_atom_site_fract_x
_atom_site_fract_y
_atom_site_fract_z
_atom_site_occupancy
Ca1 0.000 0.000 0.000 1
Mg1 0.000 0.000 0.500 1
Sb1 0.500 0.500 0.266 1
```

## Properties
E in eV per atom: -3.7063
Uncorrected formation energy in meV/atom: -465.1
Mass density in g cm⁻³: 4.98
Size of the total moment in μB per formula unit: 0.000


(3)
Material: Mn2CdCo
Method: DFT, PBEsol
State: relaxed

Structure (CIF):
```
data_Mn2CdCo
_chemical_formula_sum 'Mn4 Cd2 Co2'
_symmetry_space_group_name_H-M 'I m m 2'
_symmetry_Int_Tables_number 44
_cell_length_a 2.964
_cell_length_b 4.309
_cell_length_c 8.566
_cell_angle_alpha 90.00
_cell_angle_beta 90.00
_cell_angle_gamma 90.00
loop_
_symmetry_equiv_pos_as_xyz
'x,y,z'
'-x,-y,z'
'-x,y,z'
'x,-y,z'
'x+1/2,y+1/2,z+1/2'
'-x+1/2,-y+1/2,z+1/2'
'-x+1/2,y+1/2,z+1/2'
'x+1/2,-y+1/2,z+1/2'
loop_
_atom_site_label
_atom_site_fract_x
_atom_site_fract_y
_atom_site_fract_z
_atom_site_occupancy
Mn1 0.000 0.000 0.000 1
Mn2 0.000 0.500 0.237 1
Cd1 0.000 0.500 0.771 1
Co1 0.000 0.000 0.527 1
```

## Properties
E in eV per atom: -6.6964
Mass density in g cm⁻³: 8.54
Size of the total moment in μB per formula unit: 7.351


(4)
Material: P2WSe
Method: DFT, PBEsol
State: relaxed

Structure (CIF):
```
data_P2WSe
_chemical_formula_sum 'P4 W2 Se2'
_symmetry_space_group_name_H-M 'C m m m'
_symmetry_Int_Tables_number 65
_symmetry_space_group_name_Hall '-C 2 2'
_cell_length_a 5.445
_cell_length_b 7.086
_cell_length_c 3.046
_cell_angle_alpha 90.00
_cell_angle_beta 90.00
_cell_angle_gamma 90.00
loop_
_atom_site_label
_atom_site_fract_x
_atom_site_fract_y
_atom_site_fract_z
_atom_site_occupancy
P1 0.250 0.250 0.000 1
W1 0.000 0.000 0.500 1
Se1 0.000 0.500 0.500 1
```

## Properties
E in eV per atom: -6.7114
Uncorrected formation energy in meV/atom: 598.7
Mass density in g cm⁻³: 9.18
Size of the total moment in μB per formula unit: 0.000


(5)
Material: Al2IrW
Method: DFT, PBEsol
State: relaxed

Structure (CIF):
```
data_Al2IrW
_chemical_formula_sum 'Al4 Ir2 W2'
_symmetry_space_group_name_H-M 'C 1 2/m 1'
_symmetry_Int_Tables_number 12
_cell_length_a 8.780
_cell_length_b 2.790
_cell_length_c 4.889
_cell_angle_alpha 90.00
_cell_angle_beta 102.58
_cell_angle_gamma 90.00
loop_
_symmetry_equiv_pos_as_xyz
'x,y,z'
'-x,-y,-z'
'-x,y,-z'
'x,-y,z'
'x+1/2,y+1/2,z'
'-x+1/2,-y+1/2,-z'
'-x+1/2,y+1/2,-z'
'x+1/2,-y+1/2,z'
loop_
_atom_site_label
_atom_site_fract_x
_atom_site_fract_y
_atom_site_fract_z
_atom_site_occupancy
Al1 0.243 0.000 0.242 1
Ir1 0.000 0.500 0.000 1
W1 0.000 0.000 0.500 1
```

## Properties
E in eV per atom: -8.1828
Excess energy over the best structure of this formula in the dataset in meV/atom: 81.5
Mass density in g cm⁻³: 12.22
Size of the total moment in μB per formula unit: 0.000


(6)
Material: CuIrN2F
Method: DFT, PBEsol
State: relaxed

Structure (CIF):
```
data_CuIrN2F
_chemical_formula_sum 'Cu1 Ir1 N2 F1'
_symmetry_space_group_name_H-M 'P 4/m m m'
_symmetry_Int_Tables_number 123
_symmetry_space_group_name_Hall '-P 4 2'
_cell_length_a 3.739
_cell_length_b 3.739
_cell_length_c 4.430
_cell_angle_alpha 90.00
_cell_angle_beta 90.00
_cell_angle_gamma 90.00
loop_
_atom_site_label
_atom_site_fract_x
_atom_site_fract_y
_atom_site_fract_z
_atom_site_occupancy
Cu1 0.000 0.000 0.000 1
Ir1 0.500 0.500 0.500 1
N1 0.000 0.500 0.500 1
F1 0.500 0.500 0.000 1
```

## Properties
E in eV per atom: -5.9450
Uncorrected formation energy in meV/atom: 682.6
Mass density in g cm⁻³: 8.12
Size of the total moment in μB per formula unit: 0.000


(7)
Material: AlAg2Mo
Method: DFT, PBEsol
State: relaxed

Structure (CIF):
```
data_AlAg2Mo
_chemical_formula_sum 'Al2 Ag4 Mo2'
_symmetry_space_group_name_H-M 'I m m m'
_symmetry_Int_Tables_number 71
_symmetry_space_group_name_Hall '-I 2 2'
_cell_length_a 2.771
_cell_length_b 4.703
_cell_length_c 9.693
_cell_angle_alpha 90.00
_cell_angle_beta 90.00
_cell_angle_gamma 90.00
loop_
_atom_site_label
_atom_site_fract_x
_atom_site_fract_y
_atom_site_fract_z
_atom_site_occupancy
Al1 0.000 0.000 0.000 1
Ag1 0.000 0.500 0.265 1
Mo1 0.000 0.000 0.500 1
```

## Properties
E in eV per atom: -5.3976
Mass density in g cm⁻³: 8.90
Size of the total moment in μB per formula unit: 0.000


(8)
Material: K2In2As3
Method: DFT, PBEsol
State: relaxed

Structure (CIF):
```
data_K2In2As3
_chemical_formula_sum 'K16 In16 As24'
_symmetry_space_group_name_H-M 'P 1 21/c 1'
_symmetry_Int_Tables_number 14
_cell_length_a 14.355
_cell_length_b 7.099
_cell_length_c 15.801
_cell_angle_alpha 90.00
_cell_angle_beta 90.26
_cell_angle_gamma 90.00
loop_
_symmetry_equiv_pos_as_xyz
'x,y,z'
'-x,-y,-z'
'-x,y+1/2,-z+1/2'
'x,-y+1/2,z+1/2'
loop_
_atom_site_label
_atom_site_fract_x
_atom_site_fract_y
_atom_site_fract_z
_atom_site_occupancy
K1 0.062 0.077 0.094 1
K2 0.156 0.564 0.022 1
K3 0.357 0.041 0.007 1
K4 0.417 0.546 0.108 1
In1 0.091 0.745 0.258 1
In2 0.182 0.227 0.333 1
In3 0.317 0.744 0.324 1
In4 0.408 0.214 0.270 1
As1 0.021 0.040 0.343 1
As2 0.166 0.570 0.393 1
As3 0.248 0.647 0.672 1
As4 0.251 0.203 0.177 1
As5 0.337 0.059 0.410 1
As6 0.472 0.539 0.330 1
```

## Properties
E in eV per atom: -3.7720
Mass density in g cm⁻³: 4.39
Size of the total moment in μB per formula unit: 0.000


(9)
Material: Ta2TiBeAu
Method: DFT, PBEsol
State: relaxed

Structure (CIF):
```
data_Ta2TiBeAu
_chemical_formula_sum 'Ta2 Ti1 Be1 Au1'
_symmetry_space_group_name_H-M 'P 4/m m m'
_symmetry_Int_Tables_number 123
_symmetry_space_group_name_Hall '-P 4 2'
_cell_length_a 4.359
_cell_length_b 4.359
_cell_length_c 4.246
_cell_angle_alpha 90.00
_cell_angle_beta 90.00
_cell_angle_gamma 90.00
loop_
_atom_site_label
_atom_site_fract_x
_atom_site_fract_y
_atom_site_fract_z
_atom_site_occupancy
Ta1 0.000 0.500 0.000 1
Ti1 0.000 0.000 0.500 1
Be1 0.000 0.000 0.000 1
Au1 0.500 0.500 0.500 1
```

## Properties
E in eV per atom: -7.8807
Mass density in g cm⁻³: 12.67
Size of the total moment in μB per formula unit: 0.000


(10)
Material: Ca3PdPb
Method: DFT, PBEsol
State: relaxed

Structure (CIF):
```
data_Ca3PdPb
_chemical_formula_sum 'Ca3 Pd1 Pb1'
_symmetry_space_group_name_H-M 'P m -3 m'
_symmetry_Int_Tables_number 221
_symmetry_space_group_name_Hall '-P 4 2 3'
_cell_length_a 5.401
_cell_length_b 5.401
_cell_length_c 5.401
_cell_angle_alpha 90.00
_cell_angle_beta 90.00
_cell_angle_gamma 90.00
loop_
_atom_site_label
_atom_site_fract_x
_atom_site_fract_y
_atom_site_fract_z
_atom_site_occupancy
Ca1 0.000 0.000 0.500 1
Pd1 0.000 0.000 0.000 1
Pb1 0.500 0.500 0.500 1
```

## Properties
E in eV per atom: -3.6556
Mass density in g cm⁻³: 4.57
Size of the total moment in μB per formula unit: 0.000